Record 1
DyGa12Pt4: relaxed, GGA-PBE.

The calculation puts the formation energy at -0.3355 eV/atom. Its crystal system is cubic. The final energy comes out at -141.58 eV/cell. The total magnetic moment comes out at 0.0000 μB/atom.

```
data_DyGa12Pt4
_chemical_formula_sum 'Dy2 Ga24 Pt8'
_symmetry_space_group_name_H-M 'I m -3'
_symmetry_Int_Tables_number 204
_symmetry_space_group_name_Hall '-I 2 2 3'
_cell_length_a 8.821
_cell_length_b 8.821
_cell_length_c 8.821
_cell_angle_alpha 90.00
_cell_angle_beta 90.00
_cell_angle_gamma 90.00
loop_
_atom_site_label
_atom_site_type_symbol
_atom_site_fract_x
_atom_site_fract_y
_atom_site_fract_z
_atom_site_occupancy
Dy1 Dy 0.000 0.000 0.000 1
Ga1 Ga 0.000 0.345 0.152 1
Pt1 Pt 0.250 0.250 0.250 1
```

***

Record 2
K4U3ZnTe8: relaxed, GGA-PBE.

Its crystal system is trigonal. The final energy comes out at -231.43 eV/cell. Its uncorrected formation energy is -0.78 eV per atom. The total magnetic moment comes out at 0.4937 μB/atom.

```
data_K4U3ZnTe8
_chemical_formula_sum 'K12 U9 Zn3 Te24'
_symmetry_space_group_name_H-M 'R -3 m'
_symmetry_Int_Tables_number 166
_symmetry_space_group_name_Hall '-R 3 2"'
_cell_length_a 9.0310
_cell_length_b 9.0310
_cell_length_c 24.4943
_cell_angle_alpha 90.00
_cell_angle_beta 90.00
_cell_angle_gamma 120.00
loop_
_atom_site_label
_atom_site_type_symbol
_atom_site_fract_x
_atom_site_fract_y
_atom_site_fract_z
_atom_site_occupancy
K1 K 0.0000 0.0000 0.0000 1
K2 K 0.0000 0.5000 0.0000 1
U1 U 0.0000 0.5000 0.5000 1
Zn1 Zn 0.0000 0.0000 0.5000 1
Te1 Te 0.0000 0.0000 0.2375 1
Te2 Te 0.0081 0.5040 0.2335 1
```

***

Record 3
Ac2Mg9In6: relaxed, GGA-PBE.

The calculation puts the formation energy at -0.0829 eV/atom. Its crystal system is hexagonal. The final energy comes out at -40.41 eV/cell. The total magnetic moment comes out at 0.0000 μB/atom.

```
data_Ac2Mg9In6
_chemical_formula_sum 'Ac2 Mg9 In6'
_symmetry_space_group_name_H-M 'P 6/m m m'
_symmetry_Int_Tables_number 191
_symmetry_space_group_name_Hall '-P 6 2'
_cell_length_a 6.2295
_cell_length_b 6.2295
_cell_length_c 14.6185
_cell_angle_alpha 90.00
_cell_angle_beta 90.00
_cell_angle_gamma 120.00
loop_
_atom_site_label
_atom_site_type_symbol
_atom_site_fract_x
_atom_site_fract_y
_atom_site_fract_z
_atom_site_occupancy
Ac1 Ac 0.0000 0.0000 0.1572 1
Mg1 Mg 0.0000 0.5000 0.0000 1
Mg2 Mg 0.0000 0.5000 0.3338 1
In1 In 0.3333 0.6667 0.1683 1
In2 In 0.3333 0.6667 0.5000 1
```

***

Record 4
LiTbGdGa: relaxed, GGA-PBE.

The calculation puts the formation energy at -0.3146 eV/atom. Its crystal system is cubic. The final energy comes out at -99.64 eV/cell. The total magnetic moment comes out at 1.8881 μB/atom.

```
data_LiTbGdGa
_chemical_formula_sum 'Li4 Tb4 Gd4 Ga4'
_symmetry_space_group_name_H-M 'F -4 3 m'
_symmetry_Int_Tables_number 216
_symmetry_space_group_name_Hall 'F -4 2 3'
_cell_length_a 7.263
_cell_length_b 7.263
_cell_length_c 7.263
_cell_angle_alpha 90.00
_cell_angle_beta 90.00
_cell_angle_gamma 90.00
loop_
_atom_site_label
_atom_site_type_symbol
_atom_site_fract_x
_atom_site_fract_y
_atom_site_fract_z
_atom_site_occupancy
Li1 Li 0.000 0.000 0.000 1
Tb1 Tb 0.250 0.250 0.250 1
Gd1 Gd 0.250 0.250 0.750 1
Ga1 Ga 0.000 0.000 0.500 1
```

***

Record 5
ReRuPt2I: relaxed, GGA-PBE.

Its crystal system is tetragonal. The final energy comes out at -27.19 eV/cell. Its uncorrected formation energy is 1.63 eV per atom. The total magnetic moment comes out at 0.3602 μB/atom.

```
data_ReRuPt2I
_chemical_formula_sum 'Re1 Ru1 Pt2 I1'
_symmetry_space_group_name_H-M 'P 4/m m m'
_symmetry_Int_Tables_number 123
_symmetry_space_group_name_Hall '-P 4 2'
_cell_length_a 4.935
_cell_length_b 4.935
_cell_length_c 4.665
_cell_angle_alpha 90.00
_cell_angle_beta 90.00
_cell_angle_gamma 90.00
loop_
_atom_site_label
_atom_site_type_symbol
_atom_site_fract_x
_atom_site_fract_y
_atom_site_fract_z
_atom_site_occupancy
Re1 Re 0.000 0.000 0.000 1
Ru1 Ru 0.000 0.000 0.500 1
Pt1 Pt 0.000 0.500 0.500 1
I1 I 0.500 0.500 0.000 1
```

***

Record 6
SmY2PuSe4: relaxed, GGA-PBE.

Its crystal system is monoclinic. The final energy comes out at -59.86 eV/cell. Its uncorrected formation energy is -1.74 eV per atom. The total magnetic moment comes out at 0.7432 μB/atom.

```
data_SmY2PuSe4
_chemical_formula_sum 'Sm1 Y2 Pu1 Se4'
_symmetry_space_group_name_H-M 'P 1 2/m 1'
_symmetry_Int_Tables_number 10
_symmetry_space_group_name_Hall '-P 2y'
_cell_length_a 7.143
_cell_length_b 4.103
_cell_length_c 7.154
_cell_angle_alpha 90.00
_cell_angle_beta 109.15
_cell_angle_gamma 90.00
loop_
_atom_site_label
_atom_site_type_symbol
_atom_site_fract_x
_atom_site_fract_y
_atom_site_fract_z
_atom_site_occupancy
Sm1 Sm 0.000 0.000 0.000 1
Y1 Y 0.000 0.500 0.500 1
Y2 Y 0.500 0.000 0.500 1
Pu1 Pu 0.500 0.500 0.000 1
Se1 Se 0.249 0.000 0.745 1
Se2 Se 0.253 0.500 0.257 1
```

***

Record 7
SrGaSbTe2: relaxed, GGA-PBE.

Its crystal system is tetragonal. The final energy comes out at -13.53 eV/cell. Its uncorrected formation energy is 0.32 eV per atom. For the energy relative to the lowest polymorph listed for this composition, the calculation gives 623 meV/atom. The total magnetic moment comes out at 0.0001 μB/atom.

```
data_SrGaSbTe2
_chemical_formula_sum 'Sr1 Ga1 Sb1 Te2'
_symmetry_space_group_name_H-M 'P 4/m m m'
_symmetry_Int_Tables_number 123
_symmetry_space_group_name_Hall '-P 4 2'
_cell_length_a 6.159
_cell_length_b 6.159
_cell_length_c 6.070
_cell_angle_alpha 90.00
_cell_angle_beta 90.00
_cell_angle_gamma 90.00
loop_
_atom_site_label
_atom_site_type_symbol
_atom_site_fract_x
_atom_site_fract_y
_atom_site_fract_z
_atom_site_occupancy
Sr1 Sr 0.000 0.000 0.000 1
Ga1 Ga 0.500 0.500 0.500 1
Sb1 Sb 0.000 0.000 0.500 1
Te1 Te 0.000 0.500 0.000 1
```

***

Record 8
Tb12Bi6Rh: relaxed, GGA-PBE.

The calculation puts the formation energy at -0.5082 eV/atom. Its crystal system is trigonal. The final energy comes out at -287.57 eV/cell. The total magnetic moment comes out at 0.0000 μB/atom.

```
data_Tb12Bi6Rh
_chemical_formula_sum 'Tb36 Bi18 Rh3'
_symmetry_space_group_name_H-M 'R -3'
_symmetry_Int_Tables_number 148
_symmetry_space_group_name_Hall '-R 3'
_cell_length_a 13.3308
_cell_length_b 13.3308
_cell_length_c 12.2646
_cell_angle_alpha 90.00
_cell_angle_beta 90.00
_cell_angle_gamma 120.00
loop_
_atom_site_label
_atom_site_type_symbol
_atom_site_fract_x
_atom_site_fract_y
_atom_site_fract_z
_atom_site_occupancy
Tb1 Tb 0.0276 0.1846 0.3848 1
Tb2 Tb 0.0621 0.1897 0.8784 1
Bi1 Bi 0.0439 0.2874 0.6384 1
Rh1 Rh 0.0000 0.0000 0.0000 1
```

***

Record 9
RuW2AuC: relaxed, GGA-PBE.

The calculation puts the formation energy at 0.6640 eV/atom. Its crystal system is tetragonal. The final energy comes out at -44.36 eV/cell. The total magnetic moment comes out at 0.0031 μB/atom.

```
data_RuW2AuC
_chemical_formula_sum 'Ru1 W2 Au1 C1'
_symmetry_space_group_name_H-M 'P 4/m m m'
_symmetry_Int_Tables_number 123
_symmetry_space_group_name_Hall '-P 4 2'
_cell_length_a 4.134
_cell_length_b 4.134
_cell_length_c 4.262
_cell_angle_alpha 90.00
_cell_angle_beta 90.00
_cell_angle_gamma 90.00
loop_
_atom_site_label
_atom_site_type_symbol
_atom_site_fract_x
_atom_site_fract_y
_atom_site_fract_z
_atom_site_occupancy
Ru1 Ru 0.000 0.000 0.000 1
W1 W 0.000 0.500 0.500 1
Au1 Au 0.500 0.500 0.000 1
C1 C 0.500 0.500 0.500 1
```

***

Record 10
La4PtAuBr2: relaxed, GGA-PBE.

Its crystal system is monoclinic. The final energy comes out at -41.87 eV/cell. Its uncorrected formation energy is -1.19 eV per atom. The total magnetic moment comes out at 0.0000 μB/atom.

```
data_La4PtAuBr2
_chemical_formula_sum 'La4 Pt1 Au1 Br2'
_symmetry_space_group_name_H-M 'P 1 2/m 1'
_symmetry_Int_Tables_number 10
_symmetry_space_group_name_Hall '-P 2y'
_cell_length_a 7.471
_cell_length_b 4.357
_cell_length_c 8.115
_cell_angle_alpha 90.00
_cell_angle_beta 107.75
_cell_angle_gamma 90.00
loop_
_atom_site_label
_atom_site_type_symbol
_atom_site_fract_x
_atom_site_fract_y
_atom_site_fract_z
_atom_site_occupancy
La1 La 0.231 0.000 0.209 1
La2 La 0.248 0.500 0.788 1
Pt1 Pt 0.000 0.500 0.000 1
Au1 Au 0.500 0.000 0.000 1
Br1 Br 0.000 0.000 0.500 1
Br2 Br 0.500 0.500 0.500 1
```

***

The highest final energy belongs to which entry?
SrGaSbTe2